Li2SbAu (PBE, optimized geometry); space-group type = No. 166; E_form (uncorrected) = -0.296 eV/atom
1.0
-5.6630 5.0509 3.0915
-4.1640 3.8662 5.9036
-2.7767 6.4625 4.2028
Au Li Sb
1 2 1
Cartesian
-9.4528 11.5347 9.8984
-0.0972 0.1186 0.1018
-6.2047 7.5712 6.4972
-3.1509 3.8449 3.2995